1.
Ba2SnPAu2 | PBE | relaxed

Computed properties:
The total energy is -4.06 eV per atom.

Cell: 4.6356 4.6356 9.6233 Å, 90.00 90.00 120.00°
Space group P-6m2 (No. 187)
Inequivalent atoms, fractional coordinates:
Ba1 0.0000 0.0000 0.2309 x2
Sn1 0.3333 0.6667 0.5000 x1
P1 0.6667 0.3333 0.0000 x1
Au1 0.3333 0.6667 0.0000 x1
Au2 0.6667 0.3333 0.5000 x1

2.
BaSrP2Au2 | PBE | relaxed

Computed properties:
The total energy is -4.39 eV per atom.

Cell: 4.4159 4.4159 8.8692 Å, 90.00 90.00 120.00°
Space group P-3m1 (No. 164)
Inequivalent atoms, fractional coordinates:
Ba1 0.0000 0.0000 0.0000 x1
Sr1 0.0000 0.0000 0.5000 x1
P1 0.3333 0.6667 0.2593 x2
Au1 0.3333 0.6667 0.7358 x2

3.
BaSrP2Au2 | PBE | relaxed

Computed properties:
The total energy is -4.39 eV per atom.

Cell: 4.4132 4.4132 8.8780 Å, 90.00 90.00 120.00°
Space group P3m1 (No. 156)
Inequivalent atoms, fractional coordinates:
Ba1 0.0000 0.0000 0.0000 x1
Sr1 0.0000 0.0000 0.4999 x1
P1 0.3333 0.6667 0.7393 x1
P2 0.6667 0.3333 0.2595 x1
Au1 0.3333 0.6667 0.2643 x1
Au2 0.6667 0.3333 0.7359 x1

4.
BaPaAu | PBE | relaxed

Computed properties:
As for the energy above the lowest structure with this stoichiometry: 0.000 eV/atom.

Cell: 7.4491 7.4491 7.4491 Å, 90.00 90.00 90.00°
Space group F-43m (No. 216)
Inequivalent atoms, fractional coordinates:
Ba1 0.0000 0.0000 0.0000 x4
Pa1 0.0000 0.0000 0.5000 x4
Au1 0.2500 0.2500 0.2500 x4